[1]
This record from the Alexandria database describes an optimized crystal structure of Li2HgPt. The functional is PBE.

The calculation puts the calculated formation energy at -0.512 eV/f.u. As for the density of states at the Fermi level: 2.42 states/eV/cell. The calculation puts the volume at 18.039 Å³ per atom. As for the energy: -2.671 eV/atom.

The structure belongs to space group Immm (No. 71); the cell edges are 2.943, 4.814 and 10.185 Å and the angles 90.00°, 90.00° and 90.00°. Symmetry generates all atoms from Li at (0.000, 0.000, 0.238), Hg at (0.000, 0.000, 0.500) and Pt at (0.000, 0.000, 0.000).

[2]
This record from the Alexandria database describes an optimized crystal structure of CsHg2BS4. The functional is PBE.

The calculation puts the formation energy from raw total energies at -461.2 meV per atom. The calculation puts the volume at 27.489 Å³ per atom. As for the energy: -3.542 eV/atom.

The structure belongs to space group I222 (No. 23); the cell edges are 6.132, 7.967 and 9.002 Å and the angles 90.00°, 90.00° and 90.00°. Symmetry generates all atoms from Cs at (0.000, 0.000, 0.000), Hg at (0.000, 0.500, 0.171), B at (0.000, 0.000, 0.500) and S at (0.169, 0.154, 0.376).